1.
# ReTcTe2

Crystalline ReTcTe2 at its relaxed geometry (PBEsol, Alexandria via LeMat-Bulk).

abc: 3.199 4.309 5.441
angles: 90.00 90.00 90.00
Fractional positions:
Re  0.500  0.500  0.000
Tc  0.000  0.500  0.500
Te  0.000  0.000  0.000
Te  0.500  0.000  0.500

Output
**Crystal system**: orthorhombic
**Calculated volume**: 75.0 Å³/cell
**Total magnetic moment**: 0.00 μB per formula unit
**Energy**: -27.279 eV for the cell shown
**Energy relative to the elements, uncorrected**: 1.09 eV/atom

***

2.
# YRe2TcTe

Crystalline YRe2TcTe at its relaxed geometry (PBEsol, Alexandria via LeMat-Bulk).

abc: 4.687 4.804 4.804
angles: 90.00 90.00 90.00
Site moments in Bohr magnetons follow the coordinates.
Fractional positions:
Y  0.000  0.000  0.000  -0.02
Re  0.000  0.000  0.500  0.30
Re  0.000  0.500  0.000  0.30
Te  0.500  0.500  0.500  -0.05
Tc  0.500  0.000  0.000  0.54

Output
**Crystal system**: tetragonal
**Calculated volume**: 108.2 Å³/cell
**Total magnetic moment**: 1.20 μB per formula unit
**Energy**: -34.318 eV for the cell shown
**Energy relative to the elements, uncorrected**: 2.79 eV/atom

***

3.
# Ti2ReTc

Crystalline Ti2ReTc at its relaxed geometry (PBEsol, Alexandria via LeMat-Bulk).

abc: 4.347 4.347 4.347
angles: 60.00 60.00 60.00
Fractional positions:
Re  0.500  0.500  0.500
Tc  0.000  0.000  0.000
Ti  0.250  0.250  0.250
Ti  0.750  0.750  0.750

Output
**Crystal system**: cubic
**Calculated volume**: 58.1 Å³/cell
**Total magnetic moment**: 0.00 μB per formula unit
**Energy**: -42.988 eV for the cell shown
**Formation energy**: -1.7 eV/f.u.

***

4.
# TlReTc2

Crystalline TlReTc2 at its relaxed geometry (PBEsol, Alexandria via LeMat-Bulk).

abc: 2.786 2.786 9.319
angles: 90.00 90.00 116.56
Fractional positions:
Re  0.500  0.500  0.229
Tc  0.000  0.000  0.998
Tc  0.500  0.500  0.770
Tl  0.000  0.000  0.503

Output
**Crystal system**: orthorhombic
**Polymorph energy (0 for the lowest one)**: 22 meV per atom
**Calculated volume**: 64.7 Å³/cell
**Total magnetic moment**: 0.00 μB per formula unit
**Energy**: -35.700 eV for the cell shown
**Formation energy**: 2.8 eV/f.u.